This record from Alexandria describes a relaxed structure of NpAs2Pd. The functional is PBE-GGA.

Raw total energy: -7.1639 eV/atom
Symmetry: Fm-3m

The structure in extended XYZ format:
```
4
Lattice="-3.867 1.150 2.527 -4.260 -1.717 -1.253 -2.135 -3.281 2.710" Properties=species:S:1:pos:R:3 pbc="T T T"
Np 0.000 0.000 0.000
As -2.566 -0.962 0.996
As -7.697 -2.886 2.989
Pd -5.131 -1.924 1.992
```

This record from Alexandria describes a relaxed structure of Tl8CdPb4. The functional is PBE-GGA.

Raw total energy: -2.5972 eV/atom
Symmetry: Pmm2

The structure in extended XYZ format:
```
13
Lattice="-2.165 2.877 2.622 -0.926 -3.704 3.299 15.538 3.816 8.643" Properties=species:S:1:pos:R:3 pbc="T T T"
Tl 7.581 1.862 4.217
Tl 13.723 1.632 9.541
Tl -0.619 -0.186 3.476
Tl 8.566 3.808 6.678
Tl 2.849 -1.038 3.492
Tl 11.865 2.914 6.600
Tl 2.090 2.218 3.076
Tl 10.259 2.486 9.527
Cd 5.098 1.252 2.836
Pb 0.863 0.212 0.480
Pb 9.059 0.487 6.946
Pb 4.199 0.998 6.156
Pb 13.126 4.928 9.215
```

This record from Alexandria describes a relaxed structure of Hg4Br3O2. The functional is PBE-GGA.

Raw total energy: -2.0880 eV/atom
Symmetry: C2/c
ΔE to the lowest computed polymorph: 0 meV/atom

The structure in extended XYZ format:
```
18
Lattice="-2.517 7.009 -0.636 -7.940 -3.957 -1.601 -5.388 -2.273 6.860" Properties=species:S:1:pos:R:3 pbc="T T T"
Hg -10.598 -1.333 0.100
Hg -5.782 -2.576 -1.105
Hg -5.247 2.112 4.523
Hg -10.063 3.356 5.728
Hg -4.962 -0.324 1.604
Hg -9.601 -2.386 3.413
Hg -10.883 1.103 3.019
Hg -6.243 3.166 1.210
Br -11.410 1.395 -0.335
Br -7.559 1.658 -1.549
Br -4.434 -0.615 4.958
Br -8.286 -0.878 6.172
Br -7.824 -1.713 0.709
Br -8.020 2.493 3.914
O -5.077 1.702 2.239
O -8.951 -4.058 4.554
O -10.768 -0.922 2.384
O -6.893 4.838 0.069
```

This record from Alexandria describes a relaxed structure of La2Ho6Th3. The functional is PBE-GGA.

Raw total energy: -5.2662 eV/atom
Symmetry: C2/m

The structure in extended XYZ format:
```
11
Lattice="-0.284 -2.050 5.744 -5.543 -0.883 2.656 -0.391 -12.633 1.508" Properties=species:S:1:pos:R:3 pbc="T T T"
La -4.103 -7.243 3.475
La -2.115 -8.323 6.433
Ho -4.178 -11.252 6.098
Ho -0.549 -11.443 6.230
Ho -2.176 -10.276 3.301
Ho -0.126 -3.239 1.023
Ho -2.040 -4.313 3.810
Ho -4.042 -5.290 6.608
Th 0.000 0.000 0.000
Th -1.957 -0.977 2.799
Th -3.870 -1.956 5.601
```

This record from Alexandria describes a relaxed structure of ScTe2PdI. The functional is PBE-GGA.

Raw total energy: -3.8143 eV/atom
Symmetry: P4/mmm
ΔE to the lowest computed polymorph: 53 meV/atom

The structure in extended XYZ format:
```
5
Lattice="-3.429 0.668 -4.300 -0.812 -5.476 -0.203 -4.333 0.511 3.535" Properties=species:S:1:pos:R:3 pbc="T T T"
I -2.166 0.256 1.768
Sc 0.000 0.000 0.000
Te -0.406 -2.738 -0.102
Te -1.715 0.334 -2.150
Pd -4.287 -2.148 -0.484
```

This record from Alexandria describes a relaxed structure of PaHg3O6. The functional is PBE-GGA.

Raw total energy: -5.2725 eV/atom
Symmetry: Pnnm

The structure in extended XYZ format:
```
20
Lattice="-1.154 2.723 2.113 1.811 -3.758 5.831 11.153 4.944 -0.279" Properties=species:S:1:pos:R:3 pbc="T T T"
Pa 5.905 1.954 3.833
Pa 0.000 0.000 0.000
Hg 9.055 1.951 5.557
Hg 0.329 -0.518 3.972
Hg 2.755 1.957 2.109
Hg 2.697 1.268 6.091
Hg 5.576 2.472 -0.140
Hg 9.113 2.641 1.575
O 11.171 2.200 6.391
O 4.913 2.819 2.175
O 2.321 0.468 3.791
O 9.489 3.441 3.874
O 6.897 1.089 5.490
O 0.640 1.708 1.275
O 5.419 -0.071 3.051
O 10.043 6.380 3.514
O 7.649 3.289 -0.060
O 4.161 0.619 7.726
O 1.768 -2.472 4.152
O 6.391 3.980 4.614
```

This record from Alexandria describes a relaxed structure of AcSb2Au5. The functional is PBE-GGA.

Raw total energy: -3.9549 eV/atom
Symmetry: Immm

The structure in extended XYZ format:
```
8
Lattice="-3.073 3.189 -0.598 -5.572 -2.910 -3.586 -5.933 -1.894 3.687" Properties=species:S:1:pos:R:3 pbc="T T T"
Ac 0.000 0.000 0.000
Sb -10.859 -1.141 -0.379
Sb -3.719 -0.475 -0.118
Au -5.752 -2.402 0.051
Au -6.195 -0.043 -1.794
Au -8.383 -1.572 1.297
Au -8.238 -1.980 -1.625
Au -6.340 0.365 1.128
```

This record from Alexandria describes a relaxed structure of La5TbHo. The functional is PBE-GGA.

Raw total energy: -4.6705 eV/atom
Symmetry: C2/c

The structure in extended XYZ format:
```
14
Lattice="6.118 0.000 1.448 3.059 8.892 0.724 -0.312 0.000 9.227" Properties=species:S:1:pos:R:3 pbc="T T T"
La 4.042 5.600 8.882
La 3.562 2.694 5.814
La 1.139 3.292 3.545
La 5.884 2.460 8.369
La 2.088 2.694 9.475
La 6.777 6.198 1.925
La 2.981 6.432 3.031
La 7.726 5.600 7.855
La 5.304 6.198 5.585
La 4.823 3.292 2.517
Tb 0.000 0.000 0.000
Tb -0.156 0.000 4.614
Ho 5.884 8.713 8.369
Ho 2.981 0.179 3.031
```

This record from Alexandria describes a relaxed structure of CaAcSb. The functional is PBE-GGA.

Raw total energy: -4.0325 eV/atom
Symmetry: P-6m2
ΔE to the lowest computed polymorph: 98 meV/atom

The structure in extended XYZ format:
```
3
Lattice="-3.679 2.598 -0.749 -1.453 -3.169 -3.852 -1.622 -0.898 4.853" Properties=species:S:1:pos:R:3 pbc="T T T"
Sb -3.349 -1.113 -1.325
Ac 0.000 0.000 0.000
Ca -3.405 -0.356 1.577
```

This record from Alexandria describes a relaxed structure of Sm3Ho2Al2. The functional is PBE-GGA.

Raw total energy: -4.4514 eV/atom
Symmetry: Cmmm

The structure in extended XYZ format:
```
7
Lattice="4.642 0.000 0.616 0.000 3.426 0.000 0.740 0.002 12.221" Properties=species:S:1:pos:R:3 pbc="T T T"
Sm 4.217 3.426 3.819
Sm 0.000 0.000 0.000
Sm 1.165 0.002 9.019
Ho 3.719 1.716 7.568
Ho 1.662 1.712 5.270
Al 3.271 1.715 10.947
Al 2.111 1.713 1.891
```

This record from Alexandria describes a relaxed structure of CrTe2P. The functional is PBE-GGA.

Raw total energy: -5.0848 eV/atom
Symmetry: Imm2

The structure in extended XYZ format:
```
4
Lattice="6.449 -0.139 -0.241 3.827 5.192 0.241 -4.718 -3.381 2.824" Properties=species:S:1:pos:R:3 pbc="T T T"
Cr 5.050 2.483 0.000
P 3.172 2.684 1.533
Te 10.102 4.967 0.000
Te 2.649 -0.883 1.292
```

This record from Alexandria describes a relaxed structure of Li7Hg2Au. The functional is PBE-GGA.

Raw total energy: -2.0062 eV/atom
Symmetry: P3m1

The structure in extended XYZ format:
```
10
Lattice="-1.955 1.431 3.770 -1.576 -3.629 -2.104 6.456 -6.084 5.658" Properties=species:S:1:pos:R:3 pbc="T T T"
Li 0.857 -4.354 2.097
Li -0.781 -2.811 0.662
Li 2.041 -1.923 1.789
Li 4.982 -4.694 4.365
Li 1.643 -3.528 4.854
Li 4.450 -6.172 7.314
Li 4.144 -7.452 4.977
Hg -0.209 -1.782 3.231
Hg 2.499 -5.902 3.536
Au 0.251 -0.237 0.220
```